Record 1
Zr7CdBi2H2: relaxed, GGA-PBE.

Unit cell a=6.1201 b=6.1198 c=13.0484 alpha=90.00 beta=103.33 gamma=90.00
With the nearest neighbours (Å) after each atom.
Space group C2/m (No. 12)
One atom of each set of equivalent atoms:
1 Zr 0.0000 0.0000 0.0000 x2  2 H 2.11
2 Zr 0.1589 0.2499 0.8159 x8  2 H 2.17-2.18
3 Zr 0.1987 0.0000 0.4032 x4  5 Bi 2.98-3.11, 1 H 3.01
4 Cd 0.0000 0.5000 0.0000 x2  12 Zr 3.06-3.19
5 Bi 0.1789 0.5000 0.3625 x4  9 Zr 2.98-3.13
6 H 0.0825 0.0000 0.1659 x4  5 Zr 2.11-2.18

## Properties
DOS(E_F) = 15.6 states/eV/cell
Total energy = -6.5861 eV per atom
Crystal system = monoclinic

Record 2
HfCdBi2: relaxed, GGA-PBE.

Unit cell a=4.3630 b=4.3630 c=21.6322 alpha=90.00 beta=90.00 gamma=120.00
With the nearest neighbours (Å) after each atom.
Space group R3m (No. 160, hexagonal axes)
One atom of each set of equivalent atoms:
1 Hf 0.0000 0.0000 0.0000 x3  6 Bi 3.00-3.04
2 Cd 0.0000 0.0000 0.1634 x3  6 Bi 3.16-3.20, 1 Hf 3.53
3 Bi 0.0000 0.0000 0.4083 x3  3 Hf 3.00, 3 Cd 3.16
4 Bi 0.0000 0.0000 0.5879 x3  3 Hf 3.04, 3 Cd 3.20

## Properties
DOS(E_F) = 9.0 states/eV/cell
Total energy = -4.5220 eV per atom
E_form = 0.136 eV per atom
Crystal system = trigonal

Record 3
Hf2CdBi: relaxed, GGA-PBE.

Unit cell a=3.7327 b=3.7327 c=24.8239 alpha=90.00 beta=90.00 gamma=120.00
With the nearest neighbours (Å) after each atom.
Space group R3m (No. 160, hexagonal axes)
One atom of each set of equivalent atoms:
1 Hf 0.0000 0.0000 0.0000 x3  3 Bi 2.96, 3 Cd 2.99
2 Hf 0.0000 0.0000 0.1685 x3  3 Bi 2.98, 3 Cd 3.02
3 Cd 0.0000 0.0000 0.4166 x3  6 Hf 2.99-3.02
4 Bi 0.0000 0.0000 0.5848 x3  6 Hf 2.96-2.98

## Properties
DOS(E_F) = 13.7 states/eV/cell
Total energy = -5.8408 eV per atom
E_form = 0.335 eV per atom
Crystal system = trigonal

Record 4
HfCdBi: relaxed, GGA-PBE.

Unit cell a=3.1917 b=3.1917 c=15.6960 alpha=90.00 beta=90.00 gamma=90.00
With the nearest neighbours (Å) after each atom.
Space group I4mm (No. 107)
One atom of each set of equivalent atoms:
1 Hf 0.0000 0.0000 0.0000 x2  4 Cd 3.08, 4 Hf 3.19, 4 Bi 3.26
2 Cd 0.0000 0.0000 0.6338 x2  4 Hf 3.08, 4 Cd 3.19
3 Bi 0.0000 0.0000 0.3500 x2  4 Bi 3.19, 4 Hf 3.26

## Properties
DOS(E_F) = 5.5 states/eV/cell
Total energy = -4.8564 eV per atom
E_form = 0.060 eV per atom
Distance to the lowest polymorph of the same formula = 0.017 eV per atom
Crystal system = tetragonal

Record 5
Hf2CdBi: relaxed, GGA-PBE.

Unit cell a=4.5042 b=4.5042 c=4.4749 alpha=90.00 beta=90.00 gamma=90.00
With the nearest neighbours (Å) after each atom.
Space group P4/mmm (No. 123)
One atom of each set of equivalent atoms:
1 Hf 0.0000 0.5000 0.0000 x2  4 Cd 3.17, 4 Bi 3.17, 4 Hf 3.18
2 Cd 0.0000 0.0000 0.5000 x1  8 Hf 3.17, 4 Bi 3.18
3 Bi 0.5000 0.5000 0.5000 x1  8 Hf 3.17, 4 Cd 3.18

## Properties
DOS(E_F) = 2.1 states/eV/cell
Total energy = -6.1316 eV per atom
E_form = 0.044 eV per atom
Crystal system = tetragonal

Record 6
HfCdBi2: relaxed, GGA-PBE.

Unit cell a=3.3270 b=3.3270 c=35.9750 alpha=90.00 beta=90.00 gamma=120.00
With the nearest neighbours (Å) after each atom.
Space group R-3m (No. 166, hexagonal axes)
One atom of each set of equivalent atoms:
1 Hf 0.0000 0.0000 0.0000 x3  6 Bi 3.18, 6 Hf 3.33
2 Cd 0.0000 0.0000 0.5000 x3  6 Cd 3.33, 2 Bi 3.46
3 Bi 0.0000 0.0000 0.4039 x6  3 Hf 3.18, 6 Bi 3.33, 1 Cd 3.46

## Properties
DOS(E_F) = 4.3 states/eV/cell
Total energy = -4.6613 eV per atom
E_form = -0.004 eV per atom
Crystal system = trigonal

Record 7
Hf3CdBi: relaxed, GGA-PBE.

Unit cell a=5.3420 b=5.3420 c=5.3420 alpha=90.00 beta=90.00 gamma=90.00
With the nearest neighbours (Å) after each atom.
Space group Pm-3m (No. 221)
One atom of each set of equivalent atoms:
1 Hf 0.0000 0.0000 0.5000 x3  2 Bi 2.67
2 Cd 0.5000 0.5000 0.5000 x1  12 Hf 3.78
3 Bi 0.0000 0.0000 0.0000 x1  6 Hf 2.67

## Properties
DOS(E_F) = 5.8 states/eV/cell
Total energy = -5.6802 eV per atom
E_form = 1.251 eV per atom
Distance to the lowest polymorph of the same formula = 0.270 eV per atom
Crystal system = cubic

Record 8
Hf2Cd2Bi: relaxed, GGA-PBE.

Unit cell a=7.4825 b=7.4825 c=4.4208 alpha=90.00 beta=90.00 gamma=90.00
With the nearest neighbours (Å) after each atom.
Space group P4/mbm (No. 127)
One atom of each set of equivalent atoms:
1 Hf 0.1459 0.3541 0.0000 x4  2 Bi 2.87, 1 Hf 3.09, 6 Cd 3.11
2 Cd 0.1474 0.6474 0.5000 x4  6 Hf 3.11, 1 Cd 3.12
3 Bi 0.0000 0.0000 0.0000 x2  4 Hf 2.87

## Properties
DOS(E_F) = 11.2 states/eV/cell
Total energy = -4.9877 eV per atom
E_form = 0.136 eV per atom
Distance to the lowest polymorph of the same formula = 0.000 eV per atom
Crystal system = tetragonal

Record 9
HfCd3Bi: relaxed, GGA-PBE.

Unit cell a=5.5129 b=5.5129 c=5.5129 alpha=90.00 beta=90.00 gamma=90.00
With the nearest neighbours (Å) after each atom.
Space group Pm-3m (No. 221)
One atom of each set of equivalent atoms:
1 Hf 0.0000 0.0000 0.0000 x1  6 Cd 2.76
2 Cd 0.0000 0.0000 0.5000 x3  2 Hf 2.76
3 Bi 0.5000 0.5000 0.5000 x1  12 Cd 3.90

## Properties
DOS(E_F) = 5.4 states/eV/cell
Total energy = -2.4670 eV per atom
E_form = 0.849 eV per atom
Distance to the lowest polymorph of the same formula = 0.000 eV per atom
Crystal system = cubic

Record 10
Hf2CdBi: relaxed, GGA-PBE.

Unit cell a=7.9555 b=7.9555 c=6.1850 alpha=90.00 beta=90.00 gamma=90.00
With the nearest neighbours (Å) after each atom.
Space group I-42d (No. 122)
One atom of each set of equivalent atoms:
1 Hf 0.2473 0.2500 0.1250 x8  2 Cd 2.90, 2 Bi 2.93, 2 Hf 3.09
2 Cd 0.0000 0.0000 0.0000 x4  4 Hf 2.90, 2 Bi 3.09
3 Bi 0.0000 0.0000 0.5000 x4  4 Hf 2.93, 2 Cd 3.09

## Properties
DOS(E_F) = 8.3 states/eV/cell
Total energy = -5.9200 eV per atom
E_form = 0.256 eV per atom
Crystal system = tetragonal

Record 11
HfCdBi: relaxed, GGA-PBE.

Unit cell a=5.9468 b=12.6196 c=8.2478 alpha=90.00 beta=90.00 gamma=90.00
With the nearest neighbours (Å) after each atom.
Space group Cmce (No. 64)
One atom of each set of equivalent atoms:
1 Hf 0.0000 0.1048 0.0987 x8  4 Bi 2.93-3.13, 4 Cd 3.06-3.25, 1 Hf 3.11
2 Cd 0.2500 0.0827 0.7500 x8  2 Cd 2.97, 4 Hf 3.06-3.25, 2 Bi 3.22
3 Bi 0.0000 0.1779 0.4352 x8  4 Hf 2.93-3.13, 2 Cd 3.22

## Properties
DOS(E_F) = 15.1 states/eV/cell
Total energy = -4.8732 eV per atom
E_form = 0.043 eV per atom
Distance to the lowest polymorph of the same formula = 0.000 eV per atom
Crystal system = orthorhombic

Record 12
HfCdBi: relaxed, GGA-PBE.

Unit cell a=5.1976 b=5.1976 c=3.1867 alpha=90.00 beta=90.00 gamma=120.00
With the nearest neighbours (Å) after each atom.
Space group P3m1 (No. 156)
One atom of each set of equivalent atoms:
1 Hf 0.0000 0.0000 0.0000 x1  2 Hf 3.19, 3 Cd 3.21, 6 Bi 3.27-3.55
2 Cd 0.3333 0.6667 0.6445 x1  3 Bi 3.10, 2 Cd 3.19, 3 Hf 3.21
3 Bi 0.6667 0.3333 0.4052 x1  3 Cd 3.10, 2 Bi 3.19, 3 Hf 3.27

## Properties
DOS(E_F) = 3.4 states/eV/cell
Total energy = -4.6486 eV per atom
E_form = 0.268 eV per atom
Distance to the lowest polymorph of the same formula = 0.225 eV per atom
Crystal system = trigonal

> Which value of DOS(E_F) does entry 10 give?

8.3 states/eV/cell

> Look up the total energy of the eleventh one.

-4.8732 eV per atom

> Number 8 is which compound?

Hf2Cd2Bi